No. 1
First-principles (PBE-GGA) data for a relaxed SiB2Os crystal, as listed in Alexandria via LeMat-Bulk.

Geometry as POSCAR:
```
SiB2Os
1.0
-2.4135 2.4135 4.5524
2.4135 -2.4135 4.5524
2.4135 2.4135 -4.5524
Si B Os
2 4 2
Cartesian
0.0000 0.0000 0.0000
0.0000 2.4135 2.2762
1.2067 -1.1776 3.4143
1.2359 1.2067 1.1381
1.2067 3.5911 -1.1381
1.1776 1.2067 5.6905
2.4135 0.0000 2.2762
0.0000 0.0000 4.5524
```

As for the raw formation energy: 551 meV per atom. The density of states at the Fermi level comes out at 3.600 states/eV per cell. The value obtained for the volume is 53.03 Å³/f.u. Its space group is I-42d (122).

---

No. 2
First-principles (PBE-GGA) data for a relaxed KNaCe2Se4 crystal, as listed in Alexandria via LeMat-Bulk.

Geometry as POSCAR:
```
KNaCe2Se4
1.0
7.5286 0.0000 0.0000
0.0000 4.3449 0.0000
-2.5227 0.0000 7.3583
K Na Ce Se
1 1 2 4
Cartesian
0.0000 0.0000 0.0000
3.7643 2.1724 0.0000
-1.2614 2.1724 3.6792
2.5029 0.0000 3.6792
0.0245 0.0000 5.3218
1.2766 2.1724 2.0757
3.7293 2.1724 5.2826
4.9814 0.0000 2.0365
```

As for the raw formation energy: -1641 meV per atom. The density of states at the Fermi level comes out at 12.566 states/eV per cell. The value obtained for the volume is 240.69 Å³/f.u. Its space group is P2/m (10).

---

No. 3
First-principles (PBE-GGA) data for a relaxed TiAlSb2Te crystal, as listed in Alexandria via LeMat-Bulk.

Geometry as POSCAR:
```
TiAlSb2Te
1.0
5.2917 0.0000 0.0000
0.0000 5.2917 0.0000
0.0000 0.0000 5.3364
Ti Al Sb Te
1 1 2 1
Cartesian
0.0000 0.0000 0.0000
2.6458 2.6458 2.6682
0.0000 2.6458 0.0000
2.6458 0.0000 0.0000
0.0000 0.0000 2.6682
```

As for the raw formation energy: 233 meV per atom. The density of states at the Fermi level comes out at 3.608 states/eV per cell. The value obtained for the volume is 149.43 Å³/f.u. Its space group is P4/mmm (123). As for the polymorph energy (0 for the lowest one): 0.00 eV/f.u.

---

No. 4
First-principles (PBE-GGA) data for a relaxed Y2ThIn9 crystal, as listed in Alexandria via LeMat-Bulk.

Geometry as POSCAR:
```
Y2ThIn9
1.0
4.6757 0.0000 0.0000
0.0000 4.6757 0.0000
0.0000 0.0000 14.0587
Y Th In
2 1 9
Cartesian
0.0000 0.0000 2.3121
0.0000 0.0000 11.7466
0.0000 0.0000 7.0294
0.0000 2.3379 0.0000
0.0000 2.3379 4.6180
0.0000 2.3379 9.4408
2.3379 0.0000 0.0000
2.3379 0.0000 4.6180
2.3379 0.0000 9.4408
2.3379 2.3379 2.3172
2.3379 2.3379 7.0294
2.3379 2.3379 11.7415
```

The total energy is -4.152 eV/atom. The density of states at the Fermi level comes out at 4.056 states/eV per cell. The value obtained for the volume is 307.36 Å³/f.u. Its space group is P4/mmm (123).

---

No. 5
First-principles (PBE-GGA) data for a relaxed Nb2ReW2 crystal, as listed in Alexandria via LeMat-Bulk.

Geometry as POSCAR:
```
Nb2ReW2
1.0
3.1977 -4.0895 0.0000
3.1977 4.0895 0.0000
-3.0210 0.0000 6.6176
Nb Re W
4 2 4
Cartesian
-0.2383 0.0000 2.8560
-0.8008 0.0000 5.7842
4.1753 0.0000 0.8334
3.6127 0.0000 3.7617
3.1977 2.6904 0.0000
3.1977 -2.6904 0.0000
1.8182 1.4880 1.9238
1.5562 1.4880 4.6938
1.8182 -1.4880 1.9238
1.5562 -1.4880 4.6938
```

The total energy is -11.333 eV/atom. The density of states at the Fermi level comes out at 7.911 states/eV per cell. The value obtained for the volume is 86.54 Å³/f.u. Its space group is C2/m (12).

---

No. 6
First-principles (PBE-GGA) data for a relaxed RbSiAu3 crystal, as listed in Alexandria via LeMat-Bulk.

Geometry as POSCAR:
```
RbSiAu3
1.0
3.6343 -12.2265 0.0000
3.6343 12.2265 0.0000
0.0000 0.0000 5.1003
Rb Si Au
2 2 6
Cartesian
3.6343 9.1418 3.8252
3.6343 -9.1418 1.2751
3.6343 5.4003 3.8252
3.6343 -5.4003 1.2751
0.0000 0.0000 0.0000
0.0000 0.0000 2.5501
2.2824 5.9847 1.2751
4.9861 5.9847 1.2751
2.2824 -5.9847 3.8252
4.9861 -5.9847 3.8252
```

As for the raw formation energy: 96 meV per atom. The density of states at the Fermi level comes out at 5.450 states/eV per cell. The value obtained for the volume is 226.63 Å³/f.u. Its space group is Cmcm (63). As for the polymorph energy (0 for the lowest one): 1.85 eV/f.u.

---

No. 7
First-principles (PBE-GGA) data for a relaxed LuAlNiPt crystal, as listed in Alexandria via LeMat-Bulk.

Geometry as POSCAR:
```
LuAlNiPt
1.0
0.0000 3.1973 3.1973
3.1973 0.0000 3.1973
3.1973 3.1973 0.0000
Lu Al Ni Pt
1 1 1 1
Cartesian
0.0000 0.0000 0.0000
3.1973 3.1973 3.1973
1.5986 1.5986 1.5986
4.7959 4.7959 4.7959
```

The total energy is -5.858 eV/atom. The density of states at the Fermi level comes out at 3.142 states/eV per cell. The value obtained for the volume is 65.37 Å³/f.u. Its space group is F-43m (216).

---

No. 8
First-principles (PBE-GGA) data for a relaxed InGaGe2 crystal, as listed in Alexandria via LeMat-Bulk.

Geometry as POSCAR:
```
InGaGe2
1.0
0.0000 3.4908 3.4908
3.4908 0.0000 3.4908
3.4908 3.4908 0.0000
In Ga Ge
1 1 2
Cartesian
0.0000 0.0000 0.0000
3.4908 3.4908 3.4908
1.7454 1.7454 1.7454
5.2363 5.2363 5.2363
```

The density of states at the Fermi level comes out at 2.075 states/eV per cell. The value obtained for the volume is 85.08 Å³/f.u. Its space group is Fm-3m (225). As for the polymorph energy (0 for the lowest one): 0.18 eV/f.u.

---

No. 9
First-principles (PBE-GGA) data for a relaxed Dy3Rh crystal, as listed in Alexandria via LeMat-Bulk.

Geometry as POSCAR:
```
Dy3Rh
1.0
11.5454 0.0000 0.0000
0.0000 11.5454 0.0000
0.0000 0.0000 6.3205
Dy Rh
24 8
Cartesian
0.4193 10.4741 1.2607
1.0713 6.1920 4.4210
1.3264 9.6317 4.3795
1.3506 3.5644 0.1460
1.9137 7.0991 1.2192
2.2083 1.3506 3.0142
3.5644 4.4221 3.0142
3.8590 10.2190 1.2192
4.4221 2.2083 0.1460
4.4463 7.6864 4.3795
4.7014 11.1261 4.4210
5.3534 6.8440 1.2607
6.1920 4.7014 5.0599
6.8440 0.4193 1.8996
7.0991 3.8590 1.9411
7.1233 9.3371 6.1745
7.6864 1.3264 5.1013
7.9810 7.1233 3.3063
9.3371 10.1948 3.3063
9.6317 4.4463 5.1013
10.1948 7.9810 6.1745
10.2190 1.9137 1.9411
10.4741 5.3534 1.8996
11.1261 1.0713 5.0599
0.6765 3.6718 3.2153
2.1009 0.6765 6.2655
3.6718 5.0962 6.2655
5.0962 2.1009 3.2153
6.4492 9.4445 3.1052
7.8736 6.4492 0.0550
9.4445 10.8689 0.0550
10.8689 7.8736 3.1052
```

The total energy is -5.757 eV/atom. The density of states at the Fermi level comes out at 32.667 states/eV per cell. The value obtained for the volume is 105.31 Å³/f.u. Its space group is P4_2/n (86).

---

No. 10
First-principles (PBE-GGA) data for a relaxed Zr2GeHIr6 crystal, as listed in Alexandria via LeMat-Bulk.

Geometry as POSCAR:
```
Zr2GeHIr6
1.0
4.5515 -2.8191 0.0000
4.5515 2.8191 0.0000
-2.9927 0.0000 6.0380
Zr Ge H Ir
2 1 1 6
Cartesian
1.2295 0.0000 1.9159
4.8807 0.0000 4.1221
-1.4964 0.0000 3.0190
4.5515 0.0000 0.0000
3.4227 1.4358 0.8862
0.4015 0.0000 4.5586
2.6875 1.4358 5.1519
3.4227 -1.4358 0.8862
5.7087 0.0000 1.4794
2.6875 -1.4358 5.1519
```

The total energy is -8.189 eV/atom. The density of states at the Fermi level comes out at 6.728 states/eV per cell. The value obtained for the volume is 154.94 Å³/f.u. Its space group is C2/m (12).

---

No. 11
First-principles (PBE-GGA) data for a relaxed La2Pd2Cl crystal, as listed in Alexandria via LeMat-Bulk.

Geometry as POSCAR:
```
La2Pd2Cl
1.0
8.1429 0.0000 0.0000
0.0000 8.1429 0.0000
0.0000 0.0000 3.8730
La Pd Cl
4 4 2
Cartesian
1.4609 2.6106 0.0000
2.6106 6.6820 0.0000
5.5324 1.4609 0.0000
6.6820 5.5324 0.0000
0.9729 5.0443 1.9365
3.0986 0.9729 1.9365
5.0443 7.1701 1.9365
7.1701 3.0986 1.9365
0.0000 0.0000 0.0000
4.0715 4.0715 0.0000
```

As for the raw formation energy: -1107 meV per atom. The density of states at the Fermi level comes out at 7.544 states/eV per cell. The value obtained for the volume is 128.41 Å³/f.u. Its space group is P4/mbm (127). As for the polymorph energy (0 for the lowest one): 0.00 eV/f.u.

---

No. 12
First-principles (PBE-GGA) data for a relaxed CsRb2GaP2 crystal, as listed in Alexandria via LeMat-Bulk.

Geometry as POSCAR:
```
CsRb2GaP2
1.0
-4.2292 7.1771 3.4426
4.2292 -7.1771 3.4426
4.2292 7.1771 -3.4426
Cs Rb Ga P
2 4 2 4
Cartesian
0.0000 0.0000 1.7213
0.0000 0.0000 5.1639
5.8302 2.5843 0.0000
1.6009 4.5928 0.0000
2.6283 2.5843 3.4426
-1.6009 4.5928 3.4426
4.2292 0.0000 1.7213
0.0000 7.1771 1.7213
2.8597 1.2041 0.0000
2.8597 -1.2041 3.4426
1.3695 8.3812 0.0000
1.3695 5.9730 3.4426
```

The total energy is -3.107 eV/atom. The value obtained for the volume is 208.99 Å³/f.u. Its space group is Ibam (72).